LiCoTc2 | PBE-GGA | relaxed

formation energy from the elements: 0.23 eV per atom
distance to the lowest polymorph of the same formula: 51.8 meV/atom

Cell and atoms, written as POSCAR:
```
LiCoTc2
1.0
-0.9157 -2.3675 -0.4293
3.1695 -0.8159 -2.2607
2.4361 -1.6709 4.0184
Co Li Tc
1 1 2
direct
0.5000 0.5000 0.2500
0.5000 0.5000 0.7500
0.0000 0.0000 0.9976
0.0000 0.0000 0.5024
```